Entry 1:
VASP calculation (PBE) on crystalline AlCu3Ni2 at its relaxed geometry.

Unit cell a=5.643 b=5.643 c=3.561 alpha=90.00 beta=90.00 gamma=141.55
Positions (direct):
Ni: 0.835 0.165 0.500
Al: 0.000 0.000 0.000
Ni: 0.165 0.835 0.500
Cu: 0.669 0.331 0.000
Cu: 0.500 0.500 0.500
Cu: 0.331 0.669 0.000

=====

Entry 2:
VASP calculation (PBE) on crystalline Al2CuNi at its relaxed geometry.

Unit cell a=2.886 b=3.506 c=5.176 alpha=90.00 beta=90.00 gamma=90.00
Positions (direct):
Cu: 0.000 0.000 0.489
Al: 0.500 0.500 0.276
Al: 0.000 0.000 0.965
Ni: 0.500 0.500 0.770

=====

Entry 3:
VASP calculation (PBE) on crystalline AlCu2Ni8 at its relaxed geometry.

Unit cell a=4.308 b=6.439 c=6.971 alpha=62.49 beta=72.61 gamma=49.67
Site moments in Bohr magnetons follow the coordinates.
Positions (direct):
Cu: 0.000 0.316 0.368  0.01
Ni: 0.771 0.374 0.729  0.36
Ni: 0.500 0.806 0.388  0.21
Ni: 0.771 0.103 0.271  0.36
Ni: 0.500 0.194 0.612  0.21
Ni: 0.229 0.626 0.271  0.36
Ni: 0.279 0.464 0.000  0.37
Cu: 0.000 0.684 0.632  0.01
Ni: 0.721 0.536 0.000  0.37
Ni: 0.229 0.897 0.729  0.36
Al: 0.500 0.000 0.000  -0.01

=====

Entry 4:
VASP calculation (PBE) on crystalline Al4Cu2Ni at its relaxed geometry.

Unit cell a=4.046 b=4.046 c=7.889 alpha=90.00 beta=90.00 gamma=120.00
Positions (direct):
Cu: 0.333 0.667 0.364
Al: 0.667 0.333 0.675
Ni: 0.000 0.000 0.787
Al: 0.667 0.333 0.286
Cu: 0.667 0.333 0.975
Al: 0.000 0.000 0.095
Al: 0.000 0.000 0.486

=====

Entry 5:
VASP calculation (PBE) on crystalline AlCuNi3 at its relaxed geometry.

Unit cell a=4.390 b=5.884 c=5.884 alpha=119.94 beta=90.00 gamma=90.00
Positions (direct):
Ni: 0.250 0.798 0.596
Ni: 0.750 0.596 0.798
Ni: 0.750 0.202 0.798
Al: 0.250 0.334 0.666
Cu: 0.000 0.000 0.000
Al: 0.750 0.666 0.334
Ni: 0.750 0.202 0.404
Ni: 0.250 0.798 0.202
Cu: 0.500 0.000 0.000
Ni: 0.250 0.404 0.202

=====

Entry 6:
VASP calculation (PBE) on crystalline AlCu3Ni3 at its relaxed geometry.

Unit cell a=6.744 b=6.744 c=4.124 alpha=90.00 beta=90.00 gamma=120.01
Positions (direct):
Al: 0.333 0.667 0.750
Cu: 0.237 0.194 0.250
Cu: 0.194 0.957 0.750
Ni: 0.619 0.094 0.750
Cu: 0.043 0.237 0.750
Ni: 0.525 0.619 0.250
Cu: 0.806 0.043 0.250
Ni: 0.475 0.381 0.750
Cu: 0.957 0.763 0.250
Al: 0.667 0.333 0.250
Cu: 0.763 0.806 0.750
Ni: 0.906 0.525 0.750
Ni: 0.381 0.906 0.250
Ni: 0.094 0.475 0.250

=====

Entry 7:
VASP calculation (PBE) on crystalline AlCuNi2 at its relaxed geometry.

Unit cell a=5.043 b=5.043 c=7.404 alpha=90.00 beta=90.00 gamma=149.77
Positions (direct):
Ni: 0.874 0.126 0.977
Ni: 0.126 0.874 0.023
Al: 0.745 0.255 0.250
Cu: 0.523 0.477 0.750
Ni: 0.126 0.874 0.477
Ni: 0.874 0.126 0.523
Cu: 0.477 0.523 0.250
Al: 0.255 0.745 0.750

=====

Entry 8:
VASP calculation (PBE) on crystalline Al2CuNi at its relaxed geometry.

Unit cell a=6.316 b=6.316 c=6.316 alpha=45.26 beta=156.42 gamma=141.94
Positions (direct):
Ni: 0.000 0.000 0.000
Al: 0.000 0.196 0.196
Al: 0.000 0.804 0.804
Cu: 0.000 0.500 0.500

=====

| no. | total DFT energy (no corrections) (eV/f.u.) | energy of formation (eV/atom) | volume (Å³ per cell) |
| --- | --- | --- | --- |
| 1 | -28.86 | -0.210 | 70.5 |
| 2 | -18.67 | -0.328 | 52.4 |
| 3 | -57.31 | 0.080 | 130.7 |
| 4 | -29.13 | -0.027 | 111.9 |
| 5 | -24.33 | 0.171 | 131.7 |
| 6 | -34.76 | -0.198 | 162.4 |
| 7 | -20.51 | -0.277 | 94.8 |
| 8 | -16.50 | 0.214 | 62.0 |